# Pm6MgGe3

Crystalline Pm6MgGe3 at its relaxed geometry (GGA-PBE, Alexandria via LeMat-Bulk).

abc: 8.015 8.015 8.629
angles: 90.00 90.00 90.75
Atoms (fractional coordinates):
Pm: 0.012 0.494 0.741
Pm: 0.164 0.836 0.500
Pm: 0.164 0.836 0.981
Pm: 0.315 0.316 0.991
Pm: 0.316 0.315 0.491
Pm: 0.494 0.012 0.241
Pm: 0.506 0.988 0.741
Pm: 0.684 0.685 0.991
Pm: 0.685 0.684 0.491
Pm: 0.836 0.164 0.000
Pm: 0.836 0.164 0.481
Pm: 0.988 0.506 0.241
Mg: 0.386 0.614 0.241
Mg: 0.614 0.386 0.741
Ge: 0.122 0.122 0.241
Ge: 0.122 0.122 0.741
Ge: 0.372 0.628 0.741
Ge: 0.628 0.372 0.241
Ge: 0.878 0.878 0.241
Ge: 0.878 0.878 0.741

For the formation energy, the calculation gives -0.5447 eV per atom. As for the total energy: -4.94 eV/atom. Its mass density is 6.66 g/cm³.

=====

# BaCaGe3

Crystalline BaCaGe3 at its relaxed geometry (GGA-PBE, Alexandria via LeMat-Bulk).

abc: 5.439 5.439 5.439
angles: 90.00 90.00 90.00
Atoms (fractional coordinates):
Ba: 0.000 0.000 0.000
Ca: 0.500 0.500 0.500
Ge: 0.000 0.500 0.500
Ge: 0.500 0.000 0.500
Ge: 0.500 0.500 0.000

The offset from the most stable computed form comes out at 3.625 eV per formula unit. For the formation energy, the calculation gives 0.1829 eV per atom. As for the total energy: -3.37 eV/atom. Its mass density is 4.08 g/cm³.

=====

# Pr8DySc5

Crystalline Pr8DySc5 at its relaxed geometry (GGA-PBE, Alexandria via LeMat-Bulk).

abc: 8.401 8.401 8.401
angles: 111.28 111.28 105.91
Atoms (fractional coordinates):
Pr: 0.153 0.425 0.079
Pr: 0.346 0.074 0.921
Pr: 0.419 0.158 0.396
Pr: 0.575 0.654 0.729
Pr: 0.762 0.022 0.604
Pr: 0.842 0.238 0.261
Pr: 0.926 0.847 0.271
Pr: 0.978 0.581 0.739
Dy: 0.250 0.750 0.500
Sc: 0.000 0.000 0.000
Sc: 0.233 0.323 0.698
Sc: 0.465 0.767 0.090
Sc: 0.625 0.535 0.302
Sc: 0.677 0.375 0.910

For the formation energy, the calculation gives 0.2622 eV per atom. As for the total energy: -5.06 eV/atom. Its mass density is 5.53 g/cm³.